Entry a
{"formula": "Li2MnFe", "functional": "PBE", "state": "relaxed", "cell": [[2.383, 0.000, 0.000], [0.000, 4.570, 0.000], [-0.307, 0.000, 4.511]], "species": ["Li", "Li", "Mn", "Fe"], "frac_coords": [[0.246, 0.000, 0.252], [0.754, 0.000, 0.748], [0.500, 0.500, 0.000], [0.000, 0.500, 0.500]], "density_g_cm3": 4.21, "dos_at_fermi_per_ev_cell": 2.83}

***

Entry b
{"formula": "Li2MnFe", "functional": "PBE", "state": "relaxed", "cell": [[2.769, 0.000, 0.000], [0.000, 2.769, 0.000], [0.000, 0.000, 7.000]], "species": ["Li", "Li", "Mn", "Fe"], "frac_coords": [[0.000, 0.000, 0.000], [0.500, 0.500, 0.313], [0.000, 0.000, 0.579], [0.500, 0.500, 0.740]], "density_g_cm3": 3.86, "dos_at_fermi_per_ev_cell": 4.34}

***

According to the calculations, the structures order from most to least stable as entry b, entry a.